(1)
# FePb2Cl, optimized geometry, DFT GGA-PBEsol
# Spin magnetization, μB per formula unit: 2.21
# Offset from the most stable computed form, meV/atom: 0.0
# ΔE_f (raw), meV per atom: 50
data_FePb2Cl
_cell_length_a 10.683
_cell_length_b 3.215
_cell_length_c 5.930
_cell_angle_alpha 90.00
_cell_angle_beta 117.14
_cell_angle_gamma 90.00
_symmetry_space_group_name_H-M 'C 1 m 1'
_symmetry_Int_Tables_number 8
loop_
_symmetry_equiv_pos_as_xyz
'x,y,z'
'x,-y,z'
'x+1/2,y+1/2,z'
'x+1/2,-y+1/2,z'
loop_
_atom_site_label
_atom_site_type_symbol
_atom_site_fract_x
_atom_site_fract_y
_atom_site_fract_z
Fe1 Fe 0.000 0.000 0.000
Pb1 Pb 0.268 0.000 0.983
Pb2 Pb 0.424 0.000 0.587
Cl1 Cl 0.114 0.500 0.312


(2)
# FePbCl2, optimized geometry, DFT GGA-PBEsol
# Spin magnetization, μB per formula unit: 3.23
# Offset from the most stable computed form, meV/atom: 341.6
# ΔE_f (raw), meV per atom: 83
data_FePbCl2
_cell_length_a 3.281
_cell_length_b 4.512
_cell_length_c 5.680
_cell_angle_alpha 90.00
_cell_angle_beta 90.00
_cell_angle_gamma 90.00
_symmetry_space_group_name_H-M 'P m m m'
_symmetry_Int_Tables_number 47
loop_
_symmetry_equiv_pos_as_xyz
'x,y,z'
'-x,-y,-z'
'-x,-y,z'
'x,y,-z'
'x,-y,-z'
'-x,y,z'
'-x,y,-z'
'x,-y,z'
loop_
_atom_site_label
_atom_site_type_symbol
_atom_site_fract_x
_atom_site_fract_y
_atom_site_fract_z
Fe1 Fe 0.000 0.000 0.000
Pb1 Pb 0.500 0.000 0.500
Cl1 Cl 0.000 0.500 0.500
Cl2 Cl 0.500 0.500 0.000


(3)
# FePtCl2, optimized geometry, DFT GGA-PBEsol
# Spin magnetization, μB per formula unit: 3.98
# Offset from the most stable computed form, meV/atom: 715.4
# ΔE_f (raw), meV per atom: 560
data_FePtCl2
_cell_length_a 6.286
_cell_length_b 6.286
_cell_length_c 6.286
_cell_angle_alpha 90.00
_cell_angle_beta 90.00
_cell_angle_gamma 90.00
_symmetry_space_group_name_H-M 'F m -3 m'
_symmetry_Int_Tables_number 225
_symmetry_space_group_name_Hall '-F 4 2 3'
loop_
_atom_site_label
_atom_site_type_symbol
_atom_site_fract_x
_atom_site_fract_y
_atom_site_fract_z
Fe1 Fe 0.000 0.000 0.000
Pt1 Pt 0.000 0.000 0.500
Cl1 Cl 0.250 0.250 0.250


(4)
# FePtCl2, optimized geometry, DFT GGA-PBEsol
# Spin magnetization, μB per formula unit: 3.87
# Offset from the most stable computed form, meV/atom: 0.0
# ΔE_f (raw), meV per atom: -155
data_FePtCl2
_cell_length_a 3.3666
_cell_length_b 3.3666
_cell_length_c 23.6192
_cell_angle_alpha 90.00
_cell_angle_beta 90.00
_cell_angle_gamma 120.00
_symmetry_space_group_name_H-M 'R 3 m'
_symmetry_Int_Tables_number 160
_symmetry_space_group_name_Hall 'R 3 -2"'
loop_
_atom_site_label
_atom_site_type_symbol
_atom_site_fract_x
_atom_site_fract_y
_atom_site_fract_z
Fe1 Fe 0.0000 0.0000 0.0000
Pt1 Pt 0.0000 0.0000 0.7292
Cl1 Cl 0.0000 0.0000 0.2696
Cl2 Cl 0.0000 0.0000 0.4669


(5)
# FePtCl2, optimized geometry, DFT GGA-PBEsol
# Spin magnetization, μB per formula unit: 4.18
# Offset from the most stable computed form, meV/atom: 728.0
# ΔE_f (raw), meV per atom: 573
data_FePtCl2
_cell_length_a 6.359
_cell_length_b 6.359
_cell_length_c 6.359
_cell_angle_alpha 90.00
_cell_angle_beta 90.00
_cell_angle_gamma 90.00
_symmetry_space_group_name_H-M 'F -4 3 m'
_symmetry_Int_Tables_number 216
_symmetry_space_group_name_Hall 'F -4 2 3'
loop_
_atom_site_label
_atom_site_type_symbol
_atom_site_fract_x
_atom_site_fract_y
_atom_site_fract_z
Fe1 Fe 0.000 0.000 0.000
Pt1 Pt 0.250 0.250 0.250
Cl1 Cl 0.000 0.000 0.500
Cl2 Cl 0.250 0.250 0.750


(6)
# FePtCl2, optimized geometry, DFT GGA-PBEsol
# Spin magnetization, μB per formula unit: 3.62
# Offset from the most stable computed form, meV/atom: 149.1
# ΔE_f (raw), meV per atom: -6
data_FePtCl2
_cell_length_a 3.447
_cell_length_b 5.368
_cell_length_c 8.174
_cell_angle_alpha 90.00
_cell_angle_beta 90.00
_cell_angle_gamma 90.00
_symmetry_space_group_name_H-M 'C m m 2'
_symmetry_Int_Tables_number 35
loop_
_symmetry_equiv_pos_as_xyz
'x,y,z'
'-x,-y,z'
'-x,y,z'
'x,-y,z'
'x+1/2,y+1/2,z'
'-x+1/2,-y+1/2,z'
'-x+1/2,y+1/2,z'
'x+1/2,-y+1/2,z'
loop_
_atom_site_label
_atom_site_type_symbol
_atom_site_fract_x
_atom_site_fract_y
_atom_site_fract_z
Fe1 Fe 0.000 0.000 0.000
Pt1 Pt 0.000 0.500 0.798
Cl1 Cl 0.000 0.000 0.587
Cl2 Cl 0.000 0.500 0.194


(7)
# FePtCl, optimized geometry, DFT GGA-PBEsol
# Spin magnetization, μB per formula unit: 3.90
# Offset from the most stable computed form, meV/atom: 0.0
# ΔE_f (raw), meV per atom: 26
data_FePtCl
_cell_length_a 2.9060
_cell_length_b 2.9060
_cell_length_c 6.4159
_cell_angle_alpha 90.00
_cell_angle_beta 90.00
_cell_angle_gamma 120.00
_symmetry_space_group_name_H-M 'P 3 m 1'
_symmetry_Int_Tables_number 156
loop_
_symmetry_equiv_pos_as_xyz
'x,y,z'
'-y,x-y,z'
'-x+y,-x,z'
'-y,-x,z'
'-x+y,y,z'
'x,x-y,z'
loop_
_atom_site_label
_atom_site_type_symbol
_atom_site_fract_x
_atom_site_fract_y
_atom_site_fract_z
Fe1 Fe 0.0000 0.0000 0.0000
Pt1 Pt 0.3333 0.6667 0.6944
Cl1 Cl 0.6667 0.3333 0.2552


(8)
# FePtCl, optimized geometry, DFT GGA-PBEsol
# Spin magnetization, μB per formula unit: 3.95
# Offset from the most stable computed form, meV/atom: 89.2
# ΔE_f (raw), meV per atom: 115
data_FePtCl
_cell_length_a 2.842
_cell_length_b 2.842
_cell_length_c 11.839
_cell_angle_alpha 90.00
_cell_angle_beta 90.00
_cell_angle_gamma 90.00
_symmetry_space_group_name_H-M 'I 4 m m'
_symmetry_Int_Tables_number 107
_symmetry_space_group_name_Hall 'I 4 -2'
loop_
_atom_site_label
_atom_site_type_symbol
_atom_site_fract_x
_atom_site_fract_y
_atom_site_fract_z
Fe1 Fe 0.000 0.000 0.000
Pt1 Pt 0.000 0.000 0.640
Cl1 Cl 0.000 0.000 0.371


(9)
# FePtCl2, optimized geometry, DFT GGA-PBEsol
# Spin magnetization, μB per formula unit: 3.54
# Offset from the most stable computed form, meV/atom: 464.0
# ΔE_f (raw), meV per atom: 309
data_FePtCl2
_cell_length_a 2.954
_cell_length_b 3.976
_cell_length_c 5.555
_cell_angle_alpha 90.00
_cell_angle_beta 90.00
_cell_angle_gamma 90.00
_symmetry_space_group_name_H-M 'P m m m'
_symmetry_Int_Tables_number 47
loop_
_symmetry_equiv_pos_as_xyz
'x,y,z'
'-x,-y,-z'
'-x,-y,z'
'x,y,-z'
'x,-y,-z'
'-x,y,z'
'-x,y,-z'
'x,-y,z'
loop_
_atom_site_label
_atom_site_type_symbol
_atom_site_fract_x
_atom_site_fract_y
_atom_site_fract_z
Fe1 Fe 0.000 0.000 0.000
Pt1 Pt 0.500 0.000 0.500
Cl1 Cl 0.000 0.500 0.500
Cl2 Cl 0.500 0.500 0.000


(10)
# FePtSCl2, optimized geometry, DFT GGA-PBEsol
# Spin magnetization, μB per formula unit: 3.11
# ΔE_f (raw), meV per atom: 524
data_FePtSCl2
_cell_length_a 4.276
_cell_length_b 4.276
_cell_length_c 4.834
_cell_angle_alpha 90.00
_cell_angle_beta 90.00
_cell_angle_gamma 90.00
_symmetry_space_group_name_H-M 'P 4/m m m'
_symmetry_Int_Tables_number 123
_symmetry_space_group_name_Hall '-P 4 2'
loop_
_atom_site_label
_atom_site_type_symbol
_atom_site_fract_x
_atom_site_fract_y
_atom_site_fract_z
Fe1 Fe 0.000 0.000 0.000
Pt1 Pt 0.500 0.500 0.500
S1 S 0.000 0.000 0.500
Cl1 Cl 0.000 0.500 0.000


(11)
# RbFeSCl2, optimized geometry, DFT GGA-PBEsol
# Spin magnetization, μB per formula unit: 4.08
# ΔE_f (raw), meV per atom: -872
data_RbFeSCl2
_cell_length_a 4.971
_cell_length_b 4.971
_cell_length_c 4.464
_cell_angle_alpha 90.00
_cell_angle_beta 90.00
_cell_angle_gamma 90.00
_symmetry_space_group_name_H-M 'P 4/m m m'
_symmetry_Int_Tables_number 123
_symmetry_space_group_name_Hall '-P 4 2'
loop_
_atom_site_label
_atom_site_type_symbol
_atom_site_fract_x
_atom_site_fract_y
_atom_site_fract_z
Rb1 Rb 0.000 0.000 0.000
Fe1 Fe 0.500 0.500 0.500
S1 S 0.500 0.500 0.000
Cl1 Cl 0.000 0.500 0.500


(12)
# FeReCl2, optimized geometry, DFT GGA-PBEsol
# Spin magnetization, μB per formula unit: 3.38
# ΔE_f (raw), meV per atom: 1034
data_FeReCl2
_cell_length_a 4.282
_cell_length_b 4.282
_cell_length_c 2.979
_cell_angle_alpha 90.00
_cell_angle_beta 90.00
_cell_angle_gamma 90.00
_symmetry_space_group_name_H-M 'P 4/m m m'
_symmetry_Int_Tables_number 123
_symmetry_space_group_name_Hall '-P 4 2'
loop_
_atom_site_label
_atom_site_type_symbol
_atom_site_fract_x
_atom_site_fract_y
_atom_site_fract_z
Fe1 Fe 0.000 0.000 0.000
Re1 Re 0.500 0.500 0.000
Cl1 Cl 0.000 0.500 0.500